one.
Zr2TaBr (PBE, optimized geometry); calculated density = 8.8 Mg/m³
1.0
3.4815 0.0000 0.0000
0.0000 4.5888 0.0000
0.0000 0.0000 5.2307
Zr Ta Br
2 1 1
direct
0.0000 0.0000 0.0000
0.5000 0.0000 0.5000
0.0000 0.5000 0.5000
0.5000 0.5000 0.0000

---

two.
Zr2TaBr (PBE, optimized geometry); calculated density = 8.5 Mg/m³
1.0
3.1474 0.0000 0.0000
0.0000 5.1983 0.0000
-1.4609 0.0000 5.3133
Zr Ta Br
2 1 1
direct
0.0000 0.0000 0.0000
0.3080 0.5000 0.6659
0.7008 0.0000 0.4987
0.0462 0.5000 0.1224

---

three.
Zr2TaBr (PBE, optimized geometry); calculated density = 7.4 Mg/m³
1.0
3.4649 0.0000 0.0000
0.0000 3.4649 0.0000
0.0000 0.0000 8.2448
Zr Ta Br
2 1 1
direct
0.0000 0.0000 0.0000
0.5000 0.5000 0.2194
0.5000 0.5000 0.8281
0.0000 0.0000 0.4223

---

four.
Zr2TaBr (PBE, optimized geometry); calculated density = 8.1 Mg/m³
1.0
3.3735 0.0000 0.0000
0.0000 3.3735 0.0000
0.0000 0.0000 8.0158
Zr Ta Br
2 1 1
direct
0.0000 0.0000 0.2084
0.0000 0.0000 0.7916
0.5000 0.5000 0.0000
0.5000 0.5000 0.5000

---

Of them, four has the highest stability.